No. 1
Ta2AsIr: optimized geometry, PBEsol.

a = 4.0808 Å, b = 2.8755 Å, c = 10.8498 Å
α = 90.00°, β = 90.00°, γ = 90.00°
Space group Amm2 (No. 38)
Unique sites:
Ta  0.0000  0.0000  0.0000 x2
Ta  0.5000  0.0000  0.3435 x2
As  0.5000  0.0000  0.5980 x2
Ir  0.0000  0.0000  0.7357 x2

Summary:
DFT formation energy, kJ/mol of atoms: -33.91


No. 2
TaAsIr3: optimized geometry, PBEsol.

a = 4.7200 Å, b = 4.7200 Å, c = 4.7200 Å
α = 90.00°, β = 90.00°, γ = 90.00°
Space group Pm-3m (No. 221)
Unique sites:
Ta  0.0000  0.0000  0.0000 x1
As  0.5000  0.5000  0.5000 x1
Ir  0.0000  0.0000  0.5000 x3

Summary:
DFT formation energy, kJ/mol of atoms: 166.64


No. 3
Ta2AsIr: optimized geometry, PBEsol.

a = 2.8598 Å, b = 4.0064 Å, c = 5.6075 Å
α = 90.00°, β = 98.44°, γ = 90.00°
Space group P2/m (No. 10)
Unique sites:
Ta  0.0518  0.0000  0.2486 x2
As  0.5000  0.5000  0.5000 x1
Ir  0.5000  0.5000  0.0000 x1

Summary:
DFT formation energy, kJ/mol of atoms: -30.98


No. 4
Ta2AsIr: optimized geometry, PBEsol.

a = 3.7807 Å, b = 3.7807 Å, c = 8.9767 Å
α = 90.00°, β = 90.00°, γ = 90.00°
Space group I-4m2 (No. 119)
Unique sites:
Ta  0.0000  0.0000  0.0000 x2
Ta  0.0000  0.5000  0.2500 x2
As  0.0000  0.0000  0.5000 x2
Ir  0.0000  0.5000  0.7500 x2

Summary:
DFT formation energy, kJ/mol of atoms: -18.07


No. 5
TcAsIr2: optimized geometry, PBEsol.

a = 2.8365 Å, b = 2.8365 Å, c = 7.0732 Å
α = 90.00°, β = 90.00°, γ = 90.00°
Space group P4mm (No. 99)
Unique sites:
Tc  0.0000  0.0000  0.0000 x1
As  0.5000  0.5000  0.2479 x1
Ir  0.0000  0.0000  0.4773 x1
Ir  0.5000  0.5000  0.7604 x1

Summary:
DFT formation energy, kJ/mol of atoms: 8.48


No. 6
TcAsIr2: optimized geometry, PBEsol.

a = 2.7869 Å, b = 4.0800 Å, c = 5.2099 Å
α = 90.00°, β = 104.40°, γ = 90.00°
Space group P2/m (No. 10)
Unique sites:
Tc  0.0000  0.0000  0.0000 x1
As  0.0000  0.0000  0.5000 x1
Ir  0.3734  0.5000  0.7464 x2

Summary:
DFT formation energy, kJ/mol of atoms: 5.93


No. 7
Tc2AsIr: optimized geometry, PBEsol.

a = 9.1104 Å, b = 2.7917 Å, c = 4.5209 Å
α = 90.00°, β = 93.88°, γ = 90.00°
Space group Cm (No. 8)
Unique sites:
Tc  0.0000  0.0000  0.0000 x2
Tc  0.2280  0.5000  0.2553 x2
As  0.2428  0.0000  0.7746 x2
Ir  0.4639  0.0000  0.4809 x2

Summary:
DFT formation energy, kJ/mol of atoms: 3.29


No. 8
TcAs4Ir: optimized geometry, PBEsol.

a = 7.3513 Å, b = 7.3513 Å, c = 7.3513 Å
α = 90.00°, β = 90.00°, γ = 90.00°
Space group F-43m (No. 216)
Unique sites:
Tc  0.0000  0.0000  0.0000 x4
As  0.1250  0.1250  0.6250 x16
Ir  0.2500  0.2500  0.2500 x4

Summary:
DFT formation energy, kJ/mol of atoms: 97.09


No. 9
Te2AsIr: optimized geometry, PBEsol.

a = 3.0219 Å, b = 3.3982 Å, c = 8.2173 Å
α = 90.00°, β = 90.00°, γ = 90.00°
Space group Pmmm (No. 47)
Unique sites:
Te  0.0000  0.0000  0.2084 x2
As  0.5000  0.5000  0.5000 x1
Ir  0.5000  0.5000  0.0000 x1

Summary:
Energy relative to the elements, uncorrected, eV/atom: 0.41


No. 10
Te3AsIr: optimized geometry, PBEsol.

a = 5.1428 Å, b = 5.1428 Å, c = 5.1428 Å
α = 90.00°, β = 90.00°, γ = 90.00°
Space group Pm-3m (No. 221)
Unique sites:
Te  0.0000  0.0000  0.5000 x3
As  0.5000  0.5000  0.5000 x1
Ir  0.0000  0.0000  0.0000 x1

Summary:
Energy relative to the elements, uncorrected, eV/atom: 0.69


No. 11
TlAsIr: optimized geometry, PBEsol.

a = 6.2453 Å, b = 6.2453 Å, c = 6.2453 Å
α = 90.00°, β = 90.00°, γ = 90.00°
Space group F-43m (No. 216)
Unique sites:
Tl  0.0000  0.0000  0.0000 x4
As  0.0000  0.0000  0.5000 x4
Ir  0.2500  0.2500  0.7500 x4

Summary:
DFT formation energy, kJ/mol of atoms: 23.55


No. 12
Zr2TlAsIr: optimized geometry, PBEsol.

a = 5.0005 Å, b = 5.0005 Å, c = 5.0207 Å
α = 90.00°, β = 90.00°, γ = 90.00°
Space group P4/mmm (No. 123)
Unique sites:
Zr  0.0000  0.5000  0.0000 x2
Tl  0.0000  0.0000  0.5000 x1
As  0.5000  0.5000  0.5000 x1
Ir  0.0000  0.0000  0.0000 x1

Summary:
DFT formation energy, kJ/mol of atoms: 20.33


No. 13
As3IrW: optimized geometry, PBEsol.

a = 4.7083 Å, b = 4.7083 Å, c = 4.7083 Å
α = 90.00°, β = 90.00°, γ = 90.00°
Space group Pm-3m (No. 221)
Unique sites:
As  0.0000  0.0000  0.5000 x3
Ir  0.0000  0.0000  0.0000 x1
W  0.5000  0.5000  0.5000 x1

Summary:
DFT formation energy, kJ/mol of atoms: 138.03


No. 14
As2IrW: optimized geometry, PBEsol.

a = 3.0297 Å, b = 4.9987 Å, c = 8.2475 Å
α = 90.00°, β = 90.00°, γ = 90.00°
Space group Immm (No. 71)
Unique sites:
As  0.0000  0.0000  0.2425 x4
Ir  0.0000  0.5000  0.5000 x2
W  0.0000  0.5000  0.0000 x2

Summary:
DFT formation energy, kJ/mol of atoms: 48.99
E above lowest polymorph, eV per formula unit: 1.117


No. 15
As2IrW: optimized geometry, PBEsol.

a = 2.9713 Å, b = 2.9713 Å, c = 23.8653 Å
α = 90.00°, β = 90.00°, γ = 120.00°
Space group R-3m (No. 166, hexagonal axes)
Unique sites:
As  0.0000  0.0000  0.2499 x6
Ir  0.0000  0.0000  0.0000 x3
W  0.0000  0.0000  0.5000 x3

Summary:
DFT formation energy, kJ/mol of atoms: 22.04
E above lowest polymorph, eV per formula unit: 0.000


No. 16
AsIrW2: optimized geometry, PBEsol.

a = 2.9214 Å, b = 2.9214 Å, c = 6.8996 Å
α = 90.00°, β = 90.00°, γ = 90.00°
Space group P4/mmm (No. 123)
Unique sites:
As  0.0000  0.0000  0.0000 x1
Ir  0.0000  0.0000  0.5000 x1
W  0.5000  0.5000  0.2341 x2

Summary:
DFT formation energy, kJ/mol of atoms: 1.22


No. 17
YAsIr: optimized geometry, PBEsol.

a = 4.2192 Å, b = 4.2192 Å, c = 3.7555 Å
α = 90.00°, β = 90.00°, γ = 120.00°
Space group P-6m2 (No. 187)
Unique sites:
Y  0.0000  0.0000  0.0000 x1
As  0.6667  0.3333  0.5000 x1
Ir  0.3333  0.6667  0.5000 x1

Summary:
DFT formation energy, kJ/mol of atoms: -92.42


No. 18
YAsIr2: optimized geometry, PBEsol.

a = 3.8109 Å, b = 4.4739 Å, c = 7.8874 Å
α = 90.00°, β = 90.00°, γ = 90.00°
Space group Immm (No. 71)
Unique sites:
Y  0.0000  0.0000  0.0000 x2
As  0.0000  0.0000  0.5000 x2
Ir  0.0000  0.5000  0.2281 x4

Summary:
DFT formation energy, kJ/mol of atoms: -36.25


No. 19
Zn2AsIr: optimized geometry, PBEsol.

a = 6.1537 Å, b = 6.1537 Å, c = 6.1537 Å
α = 90.00°, β = 90.00°, γ = 90.00°
Space group F-43m (No. 216)
Unique sites:
Zn  0.0000  0.0000  0.0000 x4
Zn  0.2500  0.2500  0.2500 x4
As  0.2500  0.2500  0.7500 x4
Ir  0.0000  0.0000  0.5000 x4

Summary:
DFT formation energy, kJ/mol of atoms: 11.25


No. 20
ZnAs2Ir: optimized geometry, PBEsol.

a = 6.2972 Å, b = 6.2972 Å, c = 6.2972 Å
α = 90.00°, β = 90.00°, γ = 90.00°
Space group F-43m (No. 216)
Unique sites:
Zn  0.0000  0.0000  0.0000 x4
As  0.0000  0.0000  0.5000 x4
As  0.2500  0.2500  0.2500 x4
Ir  0.2500  0.2500  0.7500 x4

Summary:
DFT formation energy, kJ/mol of atoms: 33.66


No. 21
ZnAsIr3: optimized geometry, PBEsol.

a = 4.4947 Å, b = 4.4947 Å, c = 4.4947 Å
α = 90.00°, β = 90.00°, γ = 90.00°
Space group Pm-3m (No. 221)
Unique sites:
Zn  0.0000  0.0000  0.0000 x1
As  0.5000  0.5000  0.5000 x1
Ir  0.0000  0.5000  0.5000 x3

Summary:
DFT formation energy, kJ/mol of atoms: 108.70


No. 22
ZnAsIr: optimized geometry, PBEsol.

a = 3.0269 Å, b = 3.6143 Å, c = 8.0663 Å
α = 90.00°, β = 90.00°, γ = 90.00°
Space group Imm2 (No. 44)
Unique sites:
Zn  0.0000  0.0000  0.0000 x2
As  0.0000  0.0000  0.6826 x2
Ir  0.0000  0.0000  0.3295 x2

Summary:
DFT formation energy, kJ/mol of atoms: 0.94


No. 23
ZrAsIr2: optimized geometry, PBEsol.

a = 6.3582 Å, b = 6.3582 Å, c = 6.3582 Å
α = 90.00°, β = 90.00°, γ = 90.00°
Space group F-43m (No. 216)
Unique sites:
Zr  0.0000  0.0000  0.0000 x4
As  0.2500  0.2500  0.2500 x4
Ir  0.0000  0.0000  0.5000 x4
Ir  0.2500  0.2500  0.7500 x4

Summary:
DFT formation energy, kJ/mol of atoms: -16.36


No. 24
Zr2AsIr: optimized geometry, PBEsol.

a = 4.0053 Å, b = 3.6505 Å, c = 10.0565 Å
α = 90.00°, β = 90.00°, γ = 90.00°
Space group Amm2 (No. 38)
Unique sites:
Zr  0.0000  0.0000  0.0000 x2
Zr  0.5000  0.0000  0.2839 x2
As  0.5000  0.0000  0.5597 x2
Ir  0.0000  0.0000  0.7337 x2

Summary:
DFT formation energy, kJ/mol of atoms: -91.71


No. 25
Zr2AsIr: optimized geometry, PBEsol.

a = 3.7874 Å, b = 3.7874 Å, c = 5.4990 Å
α = 90.00°, β = 90.00°, γ = 90.00°
Space group P4mm (No. 99)
Unique sites:
Zr  0.0000  0.0000  0.0000 x1
Zr  0.5000  0.5000  0.4921 x1
As  0.0000  0.0000  0.5004 x1
Ir  0.5000  0.5000  0.9959 x1

Summary:
DFT formation energy, kJ/mol of atoms: -69.67


No. 26
K3As: optimized geometry, PBEsol.

a = 5.7391 Å, b = 5.7391 Å, c = 10.1684 Å
α = 90.00°, β = 90.00°, γ = 120.00°
Space group P6_3/mmc (No. 194)
Unique sites:
K  0.0000  0.0000  0.2500 x2
K  0.3333  0.6667  0.0799 x4
As  0.3333  0.6667  0.7500 x2

Summary:
DFT formation energy, kJ/mol of atoms: -31.46


No. 27
K5As4: optimized geometry, PBEsol.

a = 6.1465 Å, b = 6.4466 Å, c = 7.8761 Å
α = 107.38°, β = 91.56°, γ = 90.57°
Space group P-1 (No. 2)
Unique sites:
K  0.0000  0.0000  0.0000 x1
K  0.2363  0.1955  0.5309 x2
K  0.3192  0.4934  0.2081 x2
As  0.2571  0.7387  0.6586 x2
As  0.4905  0.0261  0.8509 x2

Summary:
DFT formation energy, kJ/mol of atoms: -36.00


No. 28
K5As3: optimized geometry, PBEsol.

a = 9.6283 Å, b = 10.2232 Å, c = 4.6706 Å
α = 90.00°, β = 90.00°, γ = 90.00°
Space group Cmmm (No. 65)
Unique sites:
K  0.0000  0.0000  0.0000 x2
K  0.0000  0.2810  0.5000 x4
K  0.2500  0.2500  0.0000 x4
As  0.0000  0.5000  0.0000 x2
As  0.2369  0.5000  0.5000 x4

Summary:
DFT formation energy, kJ/mol of atoms: -12.70


Computed DFT total energy (eV per atom) in order:
-10.359; -7.698; -10.329; -10.195; -8.917; -8.943; -9.331; -5.913; -5.081; -4.409; -5.609; -6.937; -6.359; -7.953; -8.233; -10.624; -8.208; -8.270; -4.407; -5.056; -6.105; -5.494; -8.630; -9.228; -8.999; -2.453; -3.272; -2.755
Computed magnetic moment (μB/f.u.) in order:
0.000; 0.000; 0.000; 0.000; 0.000; 0.000; 0.000; 0.006; 0.000; 0.001; 0.000; 0.000; 2.125; 0.000; 0.000; 0.000; 0.000; 0.000; 0.000; 0.000; 0.000; 0.000; 0.000; 0.000; 0.000; 0.000; 0.000; 0.000